[1]
LiMnP2O7: relaxed, PBE+U.

The structure in extended XYZ format:
```
22
Lattice="5.0009 0.0000 0.0000 0.2448 6.0793 0.0000 0.2536 2.3744 8.6201" Properties=species:S:1:pos:R:3 pbc="T T T"
Li 1.1245 1.9083 0.2384
Li 4.3748 6.5454 8.3817
Mn 1.6974 7.6541 6.4496
Mn 3.8019 0.7996 2.1705
P 1.2752 2.6221 3.1471
P 1.5931 4.9196 1.3984
P 3.9063 3.5342 7.2217
P 4.2241 5.8316 5.4730
O 0.6911 6.1118 5.8616
O 0.6864 6.1572 1.4413
O 1.1985 3.9773 0.2710
O 1.4403 4.2071 2.8320
O 1.6226 2.4458 4.5905
O 2.2103 1.9100 2.1368
O 2.4199 3.0955 7.3528
O 3.0794 5.3582 1.2673
O 3.2890 6.5438 6.4833
O 3.8768 6.0079 4.0297
O 4.0591 4.2466 5.7881
O 4.3009 4.4764 8.3491
O 4.8130 2.2965 7.1788
O 4.8082 2.3419 2.7585
```

Energy above the most stable polymorph in this dataset ... 21 meV/atom

---

[2]
Li3Mn2P3O12: relaxed, PBE+U.

The structure in extended XYZ format:
```
40
Lattice="5.7217 -6.6286 0.0000 5.7217 6.6286 0.0000 -2.5140 0.0000 5.6974" Properties=species:S:1:pos:R:3 pbc="T T T"
Li 0.0000 0.0000 0.0000
Li -1.2570 0.0000 2.8487
Li 3.8362 3.9877 4.2731
Li 3.8362 0.3433 4.2731
Li 5.0932 -0.3433 1.4244
Li 5.0932 -3.9877 1.4244
Mn 1.1170 2.0631 5.0034
Mn 2.3740 -2.0631 2.1547
Mn 6.5554 2.0631 3.5428
Mn 7.8124 -2.0631 0.6940
P 2.1303 1.2891 2.0959
P 5.0932 3.8855 1.4244
P 0.8734 -1.2891 4.9446
P 8.0561 1.2891 0.7528
P 3.8362 -3.8855 4.2731
P 6.7991 -1.2891 3.6016
O 3.8655 4.8382 1.5182
O 0.6992 1.0017 1.6752
O 2.8067 2.2365 1.0358
O 2.2222 2.1110 3.4299
O -0.5578 -1.0017 4.5239
O 5.1511 3.0255 0.1264
O 6.3209 4.8382 1.3305
O 5.0354 3.0255 2.7223
O 3.0229 0.0252 2.3168
O 1.7659 -0.0252 5.1656
O 1.5498 -2.2365 3.8845
O 3.4792 -2.1110 0.5812
O 5.4502 2.1110 5.1162
O 7.3797 2.2365 1.8129
O 7.1636 0.0252 0.5319
O 5.9066 -0.0252 3.3806
O 3.8941 -3.0255 2.9752
O 2.6085 -4.8382 4.3670
O 3.7784 -3.0255 5.5710
O 9.4873 1.0017 1.1735
O 6.7072 -2.1110 2.2675
O 6.1227 -2.2365 4.6616
O 8.2303 -1.0017 4.0222
O 5.0639 -4.8382 4.1792
```

Energy above the most stable polymorph in this dataset ... 19 meV/atom

---

[3]
LiMn2P2O10: relaxed, PBE+U.

The structure in extended XYZ format:
```
30
Lattice="4.9539 0.0000 0.0000 0.0000 10.2941 0.0000 -2.1763 0.0000 6.6801" Properties=species:S:1:pos:R:3 pbc="T T T"
Li 0.4237 0.0000 0.5575
Li 2.3539 5.1470 6.1226
Mn -0.6303 5.5126 3.7829
Mn -0.1693 6.9462 6.2531
Mn 2.9469 1.7991 0.4270
Mn 3.4079 0.3656 2.8972
P -0.3709 7.7703 1.5139
P 1.7372 4.6261 1.8715
P 1.0403 9.7731 4.8086
P 3.1485 2.6233 5.1662
O -1.5364 6.6275 5.0249
O -1.1821 3.9978 4.8719
O 0.0216 7.0180 2.8038
O -0.8791 1.7490 6.0425
O 0.9166 8.1437 0.7055
O 0.4446 4.3141 2.6602
O 0.0602 0.2933 3.9436
O 1.2903 5.4709 0.6222
O 0.3680 8.4951 5.2907
O 0.7229 5.7560 5.0803
O 2.0546 0.6089 1.5998
O 2.4096 3.3481 1.3894
O 1.4873 0.3239 6.0579
O 2.7174 5.4403 2.7365
O 2.3330 9.4611 4.0199
O 1.8610 2.9967 5.9746
O 3.6567 6.8960 0.6376
O 2.7559 1.8710 3.8764
O 3.9597 9.1449 1.8082
O 4.3140 1.4805 1.6553
```

DOS(E_F) ... 13.723 states/eV per cell
Energy above the most stable polymorph in this dataset ... 22 meV/atom

---

[4]
LiMnP2O7: relaxed, PBE+U.

The structure in extended XYZ format:
```
22
Lattice="5.2448 0.0000 0.0000 0.5960 6.9935 0.0000 0.1520 3.1253 7.5062" Properties=species:S:1:pos:R:3 pbc="T T T"
Li 0.0000 0.0000 0.0000
Li 2.8308 7.2704 4.0880
Mn 2.6760 2.7549 5.4360
Mn 5.2291 5.0240 1.9603
P 2.4533 3.0314 2.2488
P 3.0744 7.2601 1.2129
P 5.6029 7.6273 6.1472
P 5.5067 4.8250 5.1544
O 0.4988 4.9762 0.0789
O 0.9633 3.4194 2.3260
O 1.4642 8.0698 5.2230
O 1.7316 4.3873 4.9784
O 2.1032 6.8283 2.2782
O 2.7263 10.0039 7.3058
O 2.5620 1.8788 1.1165
O 2.8685 2.2913 3.5529
O 3.3660 4.1328 1.8006
O 4.1683 8.0135 5.7110
O 4.5387 6.8279 1.4599
O 4.6329 3.7611 5.8104
O 4.9438 5.4455 3.8663
O 5.5449 6.0172 6.2501
```

Energy above the most stable polymorph in this dataset ... 28 meV/atom